Co2OF3: optimized geometry, PBE+U.

Computed properties:
For the density of states at the Fermi level, the calculation gives 1.61 states/eV/f.u.

a b c (Å): 7.053 7.053 6.756
angles (deg): 90.00 90.00 127.18
Sites, in units of the cell vectors:
Co (0.625, 0.874, 0.750)
Co (0.126, 0.375, 0.750)
Co (0.126, 0.874, 0.750)
Co (0.375, 0.625, 0.250)
Co (0.874, 0.126, 0.250)
Co (0.625, 0.375, 0.750)
Co (0.874, 0.625, 0.250)
Co (0.375, 0.126, 0.250)
O (0.475, 0.525, 0.750)
O (0.774, 0.226, 0.750)
O (0.525, 0.475, 0.250)
O (0.226, 0.774, 0.250)
F (0.972, 0.028, 0.750)
F (0.624, 0.874, 0.054)
F (0.126, 0.376, 0.054)
F (0.874, 0.624, 0.946)
F (0.376, 0.126, 0.946)
F (0.624, 0.874, 0.446)
F (0.126, 0.376, 0.446)
F (0.028, 0.972, 0.250)
F (0.279, 0.721, 0.750)
F (0.721, 0.279, 0.250)
F (0.874, 0.624, 0.554)
F (0.376, 0.126, 0.554)

Co6OF11: optimized geometry, PBE+U.

a b c (Å): 4.722 4.722 9.684
angles (deg): 90.00 90.00 91.45
Sites, in units of the cell vectors:
Co (0.008, 0.008, 0.663)
Co (0.008, 0.008, 0.337)
Co (0.002, 0.002, 0.000)
Co (0.470, 0.470, 0.500)
Co (0.504, 0.504, 0.835)
Co (0.504, 0.504, 0.165)
O (0.195, 0.195, 0.500)
F (0.199, 0.199, 0.834)
F (0.199, 0.199, 0.166)
F (0.699, 0.302, 0.329)
F (0.699, 0.302, 0.671)
F (0.700, 0.308, 0.000)
F (0.308, 0.700, 0.000)
F (0.302, 0.699, 0.671)
F (0.302, 0.699, 0.329)
F (0.783, 0.783, 0.500)
F (0.809, 0.809, 0.832)
F (0.809, 0.809, 0.168)

Co6O5F7: optimized geometry, PBE+U.

Computed properties:
For the density of states at the Fermi level, the calculation gives 3.10 states/eV/f.u.

a b c (Å): 4.581 5.444 7.709
angles (deg): 92.29 90.95 89.03
Sites, in units of the cell vectors:
Co (0.554, 0.485, 0.993)
Co (0.479, 0.178, 0.658)
Co (0.454, 0.840, 0.343)
Co (0.005, 0.329, 0.334)
Co (0.007, 0.657, 0.664)
Co (0.007, 0.002, 0.012)
O (0.193, 0.377, 0.554)
O (0.185, 0.040, 0.245)
O (0.300, 0.874, 0.572)
O (0.704, 0.456, 0.758)
O (0.818, 0.306, 0.109)
F (0.211, 0.691, 0.908)
F (0.302, 0.536, 0.221)
F (0.316, 0.196, 0.899)
F (0.694, 0.134, 0.438)
F (0.678, 0.808, 0.103)
F (0.806, 0.957, 0.770)
F (0.790, 0.632, 0.418)

Co2OF3: optimized geometry, PBE+U.

Computed properties:
For the density of states at the Fermi level, the calculation gives 1.09 states/eV/f.u.

a b c (Å): 4.707 4.707 15.658
angles (deg): 90.00 90.00 93.37
Sites, in units of the cell vectors:
Co (0.964, 0.964, 0.900)
Co (0.964, 0.964, 0.100)
Co (0.039, 0.039, 0.296)
Co (0.038, 0.038, 0.500)
Co (0.039, 0.039, 0.704)
Co (0.492, 0.492, 0.000)
Co (0.504, 0.504, 0.398)
Co (0.502, 0.502, 0.197)
Co (0.502, 0.502, 0.803)
Co (0.504, 0.504, 0.602)
O (0.313, 0.313, 0.500)
O (0.313, 0.313, 0.708)
O (0.313, 0.313, 0.292)
O (0.668, 0.668, 0.892)
O (0.668, 0.668, 0.108)
F (0.168, 0.774, 0.000)
F (0.208, 0.816, 0.394)
F (0.188, 0.797, 0.203)
F (0.208, 0.816, 0.606)
F (0.188, 0.797, 0.797)
F (0.275, 0.275, 0.898)
F (0.275, 0.275, 0.102)
F (0.721, 0.721, 0.300)
F (0.727, 0.727, 0.500)
F (0.721, 0.721, 0.700)
F (0.774, 0.168, 0.000)
F (0.816, 0.208, 0.394)
F (0.797, 0.188, 0.203)
F (0.797, 0.188, 0.797)
F (0.816, 0.208, 0.606)

Co5O12F3: optimized geometry, PBE+U.

Computed properties:
For the density of states at the Fermi level, the calculation gives 10.25 states/eV/f.u.

a b c (Å): 10.252 10.252 10.252
angles (deg): 109.47 109.47 109.47
Sites, in units of the cell vectors:
F (0.750, 0.375, 0.125)
F (0.875, 0.750, 0.125)
F (0.375, 0.750, 0.625)
F (0.250, 0.125, 0.375)
F (0.875, 0.125, 0.250)
F (0.375, 0.625, 0.250)
F (0.625, 0.375, 0.750)
F (0.125, 0.875, 0.750)
F (0.750, 0.875, 0.625)
F (0.625, 0.250, 0.375)
F (0.125, 0.250, 0.875)
F (0.250, 0.625, 0.875)
Co (0.125, 0.375, 0.250)
Co (0.000, 0.500, 0.000)
Co (0.000, 0.000, 0.000)
Co (0.375, 0.250, 0.125)
Co (0.500, 0.000, 0.500)
Co (0.500, 0.500, 0.000)
Co (0.125, 0.750, 0.375)
Co (0.750, 0.125, 0.875)
Co (0.750, 0.625, 0.375)
Co (0.375, 0.125, 0.750)
Co (0.625, 0.875, 0.250)
Co (0.500, 0.500, 0.500)
Co (0.500, 0.000, 0.000)
Co (0.000, 0.000, 0.500)
Co (0.250, 0.375, 0.625)
Co (0.250, 0.875, 0.125)
Co (0.000, 0.500, 0.500)
Co (0.875, 0.250, 0.625)
Co (0.625, 0.750, 0.875)
Co (0.875, 0.625, 0.750)
O (0.695, 0.097, 0.011)
O (0.315, 0.511, 0.414)
O (0.989, 0.403, 0.305)
O (0.511, 0.195, 0.097)
O (0.599, 0.695, 0.685)
O (0.989, 0.586, 0.185)
O (0.315, 0.805, 0.401)
O (0.086, 0.901, 0.097)
O (0.586, 0.989, 0.685)
O (0.695, 0.599, 0.185)
O (0.805, 0.489, 0.403)
O (0.815, 0.914, 0.011)
O (0.097, 0.695, 0.511)
O (0.403, 0.414, 0.099)
O (0.099, 0.914, 0.403)
O (0.401, 0.097, 0.586)
O (0.099, 0.185, 0.195)
O (0.489, 0.685, 0.086)
O (0.815, 0.901, 0.305)
O (0.097, 0.401, 0.086)
O (0.403, 0.989, 0.805)
O (0.586, 0.597, 0.401)
O (0.914, 0.815, 0.511)
O (0.805, 0.315, 0.901)
O (0.414, 0.403, 0.599)
O (0.086, 0.185, 0.489)
O (0.195, 0.685, 0.099)
O (0.185, 0.099, 0.695)
O (0.597, 0.011, 0.195)
O (0.903, 0.599, 0.914)
O (0.511, 0.315, 0.914)
O (0.599, 0.903, 0.414)
O (0.901, 0.815, 0.805)
O (0.901, 0.086, 0.597)
O (0.903, 0.305, 0.489)
O (0.185, 0.086, 0.989)
O (0.597, 0.586, 0.901)
O (0.414, 0.011, 0.315)
O (0.305, 0.401, 0.815)
O (0.195, 0.511, 0.597)
O (0.914, 0.099, 0.903)
O (0.685, 0.195, 0.599)
O (0.489, 0.805, 0.903)
O (0.011, 0.414, 0.815)
O (0.401, 0.305, 0.315)
O (0.011, 0.597, 0.695)
O (0.685, 0.489, 0.586)
O (0.305, 0.903, 0.989)

Co6O5F7: optimized geometry, PBE+U.

Computed properties:
For the density of states at the Fermi level, the calculation gives 0.30 states/eV/f.u.

a b c (Å): 5.585 5.585 7.619
angles (deg): 68.66 68.66 68.61
Sites, in units of the cell vectors:
Co (0.338, 0.662, 0.000)
Co (0.302, 0.698, 0.500)
Co (0.002, 0.326, 0.835)
Co (0.012, 0.339, 0.323)
Co (0.661, 0.988, 0.677)
Co (0.674, 0.998, 0.165)
O (0.312, 0.009, 0.841)
O (0.019, 0.981, 0.500)
O (0.685, 0.637, 0.838)
O (0.363, 0.315, 0.162)
O (0.991, 0.688, 0.159)
F (0.628, 0.372, 0.500)
F (0.238, 0.559, 0.790)
F (0.561, 0.897, 0.466)
F (0.900, 0.230, 0.133)
F (0.103, 0.439, 0.534)
F (0.441, 0.762, 0.210)
F (0.770, 0.100, 0.867)

CoO2F: optimized geometry, PBE+U.

Computed properties:
For the density of states at the Fermi level, the calculation gives 1.22 states/eV/f.u.

a b c (Å): 5.278 5.278 5.040
angles (deg): 58.43 58.43 90.00
Sites, in units of the cell vectors:
Co (0.000, 0.000, 0.000)
Co (0.750, 0.250, 0.500)
O (0.729, 0.125, 0.250)
O (0.021, 0.625, 0.250)
O (0.375, 0.271, 0.750)
O (0.875, 0.979, 0.750)
F (0.500, 0.500, 0.000)
F (0.250, 0.750, 0.500)

Co6O5F7: optimized geometry, PBE+U.

Computed properties:
For the density of states at the Fermi level, the calculation gives 3.50 states/eV/f.u.

a b c (Å): 4.600 5.554 7.663
angles (deg): 85.41 87.34 84.93
Sites, in units of the cell vectors:
Co (0.511, 0.510, 0.003)
Co (0.483, 0.172, 0.347)
Co (0.514, 0.830, 0.650)
Co (0.999, 0.333, 0.669)
Co (0.992, 0.664, 0.326)
Co (0.984, 0.977, 0.008)
O (0.818, 0.712, 0.102)
O (0.707, 0.544, 0.761)
O (0.705, 0.878, 0.431)
O (0.294, 0.120, 0.567)
O (0.295, 0.464, 0.237)
F (0.794, 0.369, 0.442)
F (0.791, 0.047, 0.782)
F (0.706, 0.208, 0.122)
F (0.302, 0.801, 0.876)
F (0.224, 0.964, 0.218)
F (0.191, 0.284, 0.907)
F (0.189, 0.621, 0.553)

Co3O4F2: optimized geometry, PBE+U.

Computed properties:
For the density of states at the Fermi level, the calculation gives 1.25 states/eV/f.u.

a b c (Å): 4.591 5.430 7.495
angles (deg): 84.11 85.14 84.21
Sites, in units of the cell vectors:
Co (0.453, 0.136, 0.817)
Co (0.547, 0.864, 0.183)
Co (0.500, 0.500, 0.500)
Co (0.000, 0.000, 0.500)
Co (0.992, 0.326, 0.166)
Co (0.008, 0.674, 0.834)
O (0.824, 0.045, 0.282)
O (0.689, 0.198, 0.604)
O (0.697, 0.877, 0.936)
O (0.695, 0.538, 0.270)
O (0.311, 0.802, 0.396)
O (0.303, 0.123, 0.064)
O (0.305, 0.462, 0.730)
O (0.176, 0.955, 0.718)
F (0.809, 0.718, 0.586)
F (0.811, 0.385, 0.928)
F (0.189, 0.615, 0.072)
F (0.191, 0.282, 0.414)

Co2O3F: optimized geometry, PBE+U.

Computed properties:
For the density of states at the Fermi level, the calculation gives 1.33 states/eV/f.u.

a b c (Å): 9.236 9.236 4.395
angles (deg): 87.56 87.56 37.24
Sites, in units of the cell vectors:
Co (0.257, 0.257, 0.525)
Co (0.743, 0.743, 0.475)
Co (0.000, 0.000, 0.500)
Co (0.500, 0.500, 0.500)
Co (0.630, 0.121, 0.998)
Co (0.879, 0.370, 0.002)
Co (0.121, 0.630, 0.998)
Co (0.370, 0.879, 0.002)
O (0.924, 0.924, 0.188)
O (0.672, 0.672, 0.191)
O (0.047, 0.550, 0.307)
O (0.298, 0.801, 0.311)
O (0.550, 0.047, 0.307)
O (0.801, 0.298, 0.311)
O (0.199, 0.702, 0.689)
O (0.953, 0.450, 0.693)
O (0.450, 0.953, 0.693)
O (0.702, 0.199, 0.689)
O (0.076, 0.076, 0.812)
O (0.328, 0.328, 0.809)
F (0.182, 0.182, 0.219)
F (0.429, 0.429, 0.207)
F (0.571, 0.571, 0.793)
F (0.818, 0.818, 0.781)

CoOsO2F: optimized geometry, PBE+U.

Computed properties:
For the density of states at the Fermi level, the calculation gives 2.56 states/eV/f.u.

a b c (Å): 3.802 3.802 3.910
angles (deg): 90.00 90.00 90.00
Sites, in units of the cell vectors:
Co (0.000, 0.000, 0.000)
Os (0.500, 0.500, 0.500)
O (0.000, 0.500, 0.000)
O (0.500, 0.000, 0.000)
F (0.000, 0.000, 0.500)

CoOsO2F: optimized geometry, PBE+U.

Computed properties:
For the density of states at the Fermi level, the calculation gives 5.86 states/eV/f.u.

a b c (Å): 3.653 3.653 6.575
angles (deg): 90.00 90.00 90.00
Sites, in units of the cell vectors:
Co (0.500, 0.500, 0.500)
Os (0.000, 0.000, 0.000)
O (0.000, 0.500, 0.000)
O (0.500, 0.000, 0.000)
F (0.000, 0.000, 0.500)

| no. | total energy (eV per cell) | total moment (μB per atom) |
| --- | --- | --- |
| 1 | -123.04 | 0.867 |
| 2 | -91.25 | 1.056 |
| 3 | -94.24 | 0.839 |
| 4 | -155.07 | 0.634 |
| 5 | -369.51 | 0.004 |
| 6 | -94.77 | 0.944 |
| 7 | -35.35 | 0.002 |
| 8 | -94.09 | 0.849 |
| 9 | -97.34 | 0.770 |
| 10 | -130.67 | 0.521 |
| 11 | -26.74 | 1.337 |
| 12 | -30.18 | 0.540 |